Computed, not measured: a geometry-optimized NdHoCl6 structure at the PBE level of DFT.

total energy	-4.80	eV per atom
M_tot	0.0	μB/cell
V	31.54	Å³/atom

a = 6.8389 Å, b = 6.8461 Å, c = 7.3724 Å
α = 62.32°, β = 62.32°, γ = 60.00°
Last column: nearest neighbours and their distance in Å.
Atoms (fractional coordinates):
Nd1 0.0000 0.0000 0.0000  6 Cl 2.76
Cl1 0.1114 0.4010 0.7445  1 Ho 2.64, 1 Nd 2.76
Cl2 0.7425 0.1117 0.7448  1 Ho 2.64, 1 Nd 2.76
Cl3 0.8886 0.5990 0.2555  1 Ho 2.64, 1 Nd 2.76
Cl4 0.2575 0.8883 0.2552  1 Ho 2.64, 1 Nd 2.76
Cl5 0.5994 0.2573 0.2554  1 Ho 2.64, 1 Nd 2.76
Cl6 0.4006 0.7427 0.7446  1 Ho 2.64, 1 Nd 2.76
Ho1 0.5000 0.5000 0.5000  6 Cl 2.64

---

Computed, not measured: a geometry-optimized UPaTcNi structure at the PBE level of DFT.

total energy	-9.27	eV per atom
formation enthalpy at 0 K	-0.1	eV/f.u.
M_tot	1.9	μB/cell
V	19.00	Å³/atom

a = 4.7547 Å, b = 4.7547 Å, c = 4.7547 Å
α = 60.00°, β = 60.00°, γ = 60.00°
Last column: nearest neighbours and their distance in Å.
Atoms (fractional coordinates):
Ni1 0.5000 0.5000 0.5000  4 Pa 2.91, 4 U 2.91
U1 0.7500 0.7500 0.7500  4 Ni 2.91, 4 Tc 2.91
Tc1 0.0000 0.0000 0.0000  4 U 2.91, 4 Pa 2.91
Pa1 0.2500 0.2500 0.2500  4 Tc 2.91, 4 Ni 2.91

---

Please write out number 1 again, unchanged.
Computed, not measured: a geometry-optimized NdHoCl6 structure at the PBE level of DFT.

total energy	-4.80	eV per atom
M_tot	0.0	μB/cell
V	31.54	Å³/atom

a = 6.8389 Å, b = 6.8461 Å, c = 7.3724 Å
α = 62.32°, β = 62.32°, γ = 60.00°
Last column: nearest neighbours and their distance in Å.
Atoms (fractional coordinates):
Nd1 0.0000 0.0000 0.0000  6 Cl 2.76
Cl1 0.1114 0.4010 0.7445  1 Ho 2.64, 1 Nd 2.76
Cl2 0.7425 0.1117 0.7448  1 Ho 2.64, 1 Nd 2.76
Cl3 0.8886 0.5990 0.2555  1 Ho 2.64, 1 Nd 2.76
Cl4 0.2575 0.8883 0.2552  1 Ho 2.64, 1 Nd 2.76
Cl5 0.5994 0.2573 0.2554  1 Ho 2.64, 1 Nd 2.76
Cl6 0.4006 0.7427 0.7446  1 Ho 2.64, 1 Nd 2.76
Ho1 0.5000 0.5000 0.5000  6 Cl 2.64

---

- Which formula does entry 1 have?
  NdHoCl6

---

What did the second record say?
Computed, not measured: a geometry-optimized UPaTcNi structure at the PBE level of DFT.

total energy	-9.27	eV per atom
formation enthalpy at 0 K	-0.1	eV/f.u.
M_tot	1.9	μB/cell
V	19.00	Å³/atom

a = 4.7547 Å, b = 4.7547 Å, c = 4.7547 Å
α = 60.00°, β = 60.00°, γ = 60.00°
Last column: nearest neighbours and their distance in Å.
Atoms (fractional coordinates):
Ni1 0.5000 0.5000 0.5000  4 Pa 2.91, 4 U 2.91
U1 0.7500 0.7500 0.7500  4 Ni 2.91, 4 Tc 2.91
Tc1 0.0000 0.0000 0.0000  4 U 2.91, 4 Pa 2.91
Pa1 0.2500 0.2500 0.2500  4 Tc 2.91, 4 Ni 2.91